[1]
A relaxed ErSc2InRh4 crystal. Source: Alexandria via LeMat-Bulk, functional GGA-PBE.

Values from the calculation:
As for the total energy: -169.5 eV per cell. The value obtained for the energy relative to the elements is -893 meV/atom.

a b c (Å): 4.6232 4.6232 22.6116
angles (deg): 90.00 90.00 120.00
Last column: nearest neighbours and their distance in Å.
Space group R-3m (No. 166, hexagonal axes)
One atom of each set of equivalent atoms:
Er  0.0000  0.0000  0.0000 [3 per cell]  8 Rh 2.81-2.84
Sc  0.0000  0.0000  0.2452 [6 per cell]  8 Rh 2.73-2.95
In  0.0000  0.0000  0.5000 [3 per cell]  8 Rh 2.81-2.84
Rh  0.0000  0.0000  0.1244 [6 per cell]  4 Sc 2.73-2.79, 1 Er 2.81, 3 In 2.84
Rh  0.0000  0.0000  0.3757 [6 per cell]  1 In 2.81, 3 Er 2.84, 4 Sc 2.86-2.95


[2]
A relaxed Er2InSi2Rh5 crystal. Source: Alexandria via LeMat-Bulk, functional GGA-PBE.

Values from the calculation:
The value obtained for the uncorrected formation energy is -0.9723 eV/atom. As for the total energy: -138.4 eV per cell.

a b c (Å): 9.7711 9.7711 3.5108
angles (deg): 90.00 90.00 90.00
Last column: nearest neighbours and their distance in Å.
Space group P4/mbm (No. 127)
One atom of each set of equivalent atoms:
Er  0.1753  0.3247  0.0000 [4 per cell]  3 Si 2.80-2.95, 6 Rh 2.99-3.07
In  0.0000  0.0000  0.0000 [2 per cell]  8 Rh 2.84
Si  0.1223  0.6223  0.0000 [4 per cell]  6 Rh 2.41-2.44
Rh  0.0000  0.5000  0.5000 [2 per cell]  4 Si 2.44
Rh  0.0700  0.7829  0.5000 [8 per cell]  2 Si 2.41


[3]
A relaxed Sm2ErIn2Rh5 crystal. Source: Alexandria via LeMat-Bulk, functional GGA-PBE.

Values from the calculation:
As for the total energy: -123.3 eV per cell. The value obtained for the energy relative to the elements is -543 meV/atom.

a b c (Å): 10.4014 10.4014 3.7237
angles (deg): 90.00 90.00 90.00
Last column: nearest neighbours and their distance in Å.
Space group P4/mbm (No. 127)
One atom of each set of equivalent atoms:
Sm  0.1698  0.3302  0.0000 [4 per cell]  3 In 2.98-3.13, 2 Rh 3.12
Er  0.0000  0.0000  0.0000 [2 per cell]  8 Rh 2.88
In  0.1279  0.6279  0.0000 [4 per cell]  6 Rh 2.65-2.66
Rh  0.0000  0.5000  0.5000 [2 per cell]  4 In 2.65
Rh  0.0627  0.7989  0.5000 [8 per cell]  2 In 2.66, 2 Er 2.88


[4]
A relaxed SmErInRh crystal. Source: Alexandria via LeMat-Bulk, functional GGA-PBE.

Values from the calculation:
As for the total energy: -85.9 eV per cell. The value obtained for the energy relative to the elements is -528 meV/atom.

a b c (Å): 7.2539 7.2539 7.2539
angles (deg): 90.00 90.00 90.00
Last column: nearest neighbours and their distance in Å.
Space group F-43m (No. 216)
One atom of each set of equivalent atoms:
Sm  0.0000  0.0000  0.0000 [4 per cell]  4 In 3.14, 4 Rh 3.14
Er  0.0000  0.0000  0.5000 [4 per cell]  4 In 3.14, 4 Rh 3.14
In  0.2500  0.2500  0.7500 [4 per cell]  4 Er 3.14, 4 Sm 3.14
Rh  0.2500  0.2500  0.2500 [4 per cell]  4 Er 3.14, 4 Sm 3.14


Number 1: DOS(E_F) 0.334 states/eV per atom. Number 2: DOS(E_F) 0.340 states/eV per atom. Number 3: DOS(E_F) 0.595 states/eV per atom. Number 4: DOS(E_F) 0.699 states/eV per atom.